#1
Compound: Ac4Sn2Ge
Source: Alexandria
Functional: GGA-PBE
Structure: optimized geometry

Total magnetic moment ... 0.00 μB/f.u.
Mass density ... 6.85 g/cm3
Space group ... I4/mmm, No. 139

Unit cell a=5.795 b=5.795 c=9.695 alpha=107.39 beta=107.39 gamma=90.00
Fractional positions:
Ac 0.820 0.820 0.640
Ac 0.180 0.180 0.360
Ac 0.000 0.500 0.000
Ac 0.500 0.000 0.000
Ge 0.000 0.000 0.000
Sn 0.629 0.629 0.259
Sn 0.371 0.371 0.741



#2
Compound: Ac4Sn2Ge
Source: Alexandria
Functional: GGA-PBE
Structure: optimized geometry

Total magnetic moment ... 0.99 μB/f.u.
Mass density ... 7.95 g/cm3
Space group ... C2/m, No. 12

Unit cell a=4.998 b=9.540 c=8.623 alpha=136.87 beta=106.84 gamma=90.00
Each line ends with the local moment (μB).
Fractional positions:
Ac 0.915 0.201 0.829  0.08
Ac 0.085 0.799 0.171  0.08
Ac 0.679 0.283 0.358  0.06
Ac 0.321 0.717 0.642  0.06
Sn 0.634 0.610 0.267  -0.01
Sn 0.366 0.390 0.733  -0.01
Ge 0.000 0.000 0.000  -0.01



What should be chosen as the most stable of them? Choose #2.



#1
Compound: Ac6SnGe2
Source: Alexandria
Functional: GGA-PBE
Structure: optimized geometry

Total magnetic moment ... 0.00 μB/f.u.
Mass density ... 8.33 g/cm3
Space group ... Immm, No. 71

Unit cell a=9.448 b=9.448 c=9.448 alpha=107.18 beta=109.61 gamma=111.65
Fractional positions:
Ac 0.545 0.726 0.819
Ac 0.455 0.274 0.181
Ac 0.093 0.274 0.819
Ac 0.907 0.726 0.181
Ac 0.798 0.758 0.555
Ac 0.202 0.242 0.445
Ac 0.202 0.758 0.960
Ac 0.798 0.242 0.040
Ac 0.707 0.384 0.677
Ac 0.293 0.616 0.323
Ac 0.293 0.969 0.677
Ac 0.707 0.031 0.323
Sn 0.000 0.500 0.500
Sn 0.000 0.000 0.000
Ge 0.500 0.385 0.885
Ge 0.500 0.615 0.115
Ge 0.627 0.000 0.627
Ge 0.373 0.000 0.373



#2
Compound: Ac6SnGe2
Source: Alexandria
Functional: GGA-PBE
Structure: optimized geometry

Total magnetic moment ... 0.00 μB/f.u.
Mass density ... 8.13 g/cm3
Space group ... C2/m, No. 12

Unit cell a=6.355 b=7.107 c=8.810 alpha=81.56 beta=68.86 gamma=63.45
Fractional positions:
Ac 0.700 0.721 0.880
Ac 0.300 0.279 0.120
Ac 0.978 0.860 0.184
Ac 0.401 0.757 0.442
Ac 0.022 0.140 0.816
Ac 0.599 0.243 0.558
Sn 0.000 0.500 0.500
Ge 0.273 0.625 0.830
Ge 0.727 0.375 0.170



What should be chosen as the most stable of them? Choose #1.



#1
Compound: Ac3SnGe
Source: Alexandria
Functional: GGA-PBE
Structure: optimized geometry

Total magnetic moment ... 0.16 μB/f.u.
Mass density ... 7.81 g/cm3
Space group ... C2/m, No. 12

Unit cell a=4.979 b=6.822 c=11.911 alpha=80.63 beta=90.02 gamma=68.61
Fractional positions:
Ac 0.235 0.098 0.318
Ac 0.496 0.576 0.121
Ac 0.192 0.185 0.938
Ac 0.727 0.114 0.635
Ac 0.453 0.663 0.741
Ac 0.961 0.647 0.425
Sn 0.793 0.983 0.137
Sn 0.895 0.778 0.922
Ge 0.086 0.396 0.679
Ge 0.602 0.364 0.380



#2
Compound: Ac3SnGe
Source: Alexandria
Functional: GGA-PBE
Structure: optimized geometry

Total magnetic moment ... 0.44 μB/f.u.
Mass density ... 7.81 g/cm3
Space group ... Pnma, No. 62

Unit cell a=4.814 b=8.748 c=17.627 alpha=90.00 beta=90.00 gamma=90.00
Each line ends with the local moment (μB).
Fractional positions:
Ac 0.250 0.365 0.554  0.04
Ac 0.750 0.842 0.214  0.03
Ac 0.750 0.496 0.895  0.06
Ac 0.750 0.996 0.605  0.06
Ac 0.750 0.635 0.446  0.04
Ac 0.250 0.004 0.395  0.06
Ac 0.250 0.865 0.946  0.04
Ac 0.750 0.342 0.286  0.03
Ac 0.250 0.658 0.714  0.03
Ac 0.250 0.158 0.786  0.03
Ac 0.750 0.135 0.054  0.04
Ac 0.250 0.504 0.105  0.06
Sn 0.750 0.868 0.803  0.00
Sn 0.250 0.132 0.197  0.00
Sn 0.750 0.368 0.697  0.00
Sn 0.250 0.632 0.303  0.00
Ge 0.250 0.280 0.956  -0.01
Ge 0.250 0.780 0.544  -0.01
Ge 0.750 0.220 0.456  -0.01
Ge 0.750 0.720 0.044  -0.01



What should be chosen as the most stable of them? Choose #2.



#1
Compound: Ac3SnGe2
Source: Alexandria
Functional: GGA-PBE
Structure: optimized geometry

Total magnetic moment ... 0.00 μB/f.u.
Mass density ... 8.25 g/cm3
Space group ... Cmmm, No. 65

Unit cell a=4.832 b=4.530 c=9.021 alpha=90.00 beta=105.53 gamma=90.00
Fractional positions:
Ac 0.327 0.000 0.655
Ac 0.673 0.000 0.345
Ac 0.500 0.500 0.000
Sn 0.000 0.000 0.000
Ge 0.144 0.500 0.288
Ge 0.856 0.500 0.712



#2
Compound: Ac3SnGe2
Source: Alexandria
Functional: GGA-PBE
Structure: optimized geometry

Total magnetic moment ... 0.00 μB/f.u.
Mass density ... 7.36 g/cm3
Space group ... R-3c, No. 167

Unit cell a=8.369 b=8.369 c=8.369 alpha=61.29 beta=61.29 gamma=61.29
Fractional positions:
Ac 0.444 0.056 0.750
Ac 0.056 0.750 0.444
Ac 0.750 0.444 0.056
Ac 0.556 0.944 0.250
Ac 0.944 0.250 0.556
Ac 0.250 0.556 0.944
Sn 0.500 0.500 0.500
Sn 0.000 0.000 0.000
Ge 0.348 0.348 0.348
Ge 0.152 0.152 0.152
Ge 0.848 0.848 0.848
Ge 0.652 0.652 0.652



What should be chosen as the most stable of them? Choose #2.



#1
Compound: SrAc2Ge
Source: Alexandria
Functional: GGA-PBE
Structure: optimized geometry

Total magnetic moment ... 0.00 μB/f.u.
Mass density ... 6.27 g/cm3
Space group ... P4/mmm, No. 123

Unit cell a=4.044 b=4.044 c=9.953 alpha=90.00 beta=90.00 gamma=90.00
Fractional positions:
Sr 0.500 0.500 0.500
Ac 0.000 0.000 0.832
Ac 0.000 0.000 0.168
Ge 0.500 0.500 0.000



#2
Compound: SrAc2Ge
Source: Alexandria
Functional: GGA-PBE
Structure: optimized geometry

Total magnetic moment ... 0.00 μB/f.u.
Mass density ... 7.20 g/cm3
Space group ... P4/mmm, No. 123

Unit cell a=5.046 b=5.297 c=5.297 alpha=90.00 beta=90.00 gamma=90.00
Fractional positions:
Sr 0.500 0.500 0.500
Ac 0.000 0.000 0.500
Ac 0.000 0.500 0.000
Ge 0.500 0.000 0.000



What should be chosen as the most stable of them? Choose #1.



#1
Compound: SrAc2Ge
Source: Alexandria
Functional: GGA-PBE
Structure: optimized geometry

Total magnetic moment ... 0.31 μB/f.u.
Mass density ... 5.54 g/cm3
Space group ... R3m, No. 160

Unit cell a=4.414 b=4.414 c=11.206 alpha=78.64 beta=78.64 gamma=60.00
Fractional positions:
Sr 0.500 0.500 0.499
Ac 0.055 0.055 0.834
Ac 0.278 0.278 0.166
Ge 0.666 0.666 0.001



#2
Compound: SrAc2Ge
Source: Alexandria
Functional: GGA-PBE
Structure: optimized geometry

Total magnetic moment ... 0.00 μB/f.u.
Mass density ... 6.59 g/cm3
Space group ... Cmcm, No. 63

Unit cell a=4.476 b=7.334 c=9.904 alpha=90.00 beta=90.00 gamma=107.76
Fractional positions:
Sr 0.429 0.860 0.250
Sr 0.571 0.140 0.750
Ac 0.149 0.299 0.441
Ac 0.851 0.701 0.559
Ac 0.851 0.701 0.941
Ac 0.149 0.299 0.059
Ge 0.756 0.513 0.250
Ge 0.244 0.487 0.750



What should be chosen as the most stable of them? Choose #2.



#1
Compound: SrAcGe4
Source: Alexandria
Functional: GGA-PBE
Structure: optimized geometry

Total magnetic moment ... 0.00 μB/f.u.
Mass density ... 6.87 g/cm3
Space group ... F-43m, No. 216

Unit cell a=5.914 b=5.914 c=5.914 alpha=60.00 beta=60.00 gamma=60.00
Fractional positions:
Sr 0.250 0.250 0.250
Ac 0.000 0.000 0.000
Ge 0.626 0.626 0.123
Ge 0.626 0.123 0.626
Ge 0.626 0.626 0.626
Ge 0.123 0.626 0.626



#2
Compound: SrAcGe4
Source: Alexandria
Functional: GGA-PBE
Structure: optimized geometry

Total magnetic moment ... 0.00 μB/f.u.
Mass density ... 6.35 g/cm3
Space group ... Immm, No. 71

Unit cell a=4.333 b=6.431 c=6.431 alpha=78.64 beta=70.31 gamma=70.31
Fractional positions:
Sr 0.000 0.000 0.000
Ac 0.500 0.500 0.500
Ge 0.252 0.411 0.084
Ge 0.252 0.084 0.411
Ge 0.748 0.589 0.916
Ge 0.748 0.916 0.589



What should be chosen as the most stable of them? Choose #2.



#1
Compound: SrAc2Ge6
Source: Alexandria
Functional: GGA-PBE
Structure: optimized geometry

Total magnetic moment ... 0.00 μB/f.u.
Mass density ... 6.45 g/cm3
Space group ... Immm, No. 71

Unit cell a=4.558 b=7.213 c=8.760 alpha=114.31 beta=105.08 gamma=90.00
Fractional positions:
Sr 0.000 0.500 0.000
Ac 0.841 0.841 0.682
Ac 0.159 0.159 0.318
Ge 0.645 0.821 0.291
Ge 0.355 0.179 0.709
Ge 0.355 0.530 0.709
Ge 0.500 0.173 0.000
Ge 0.500 0.827 0.000
Ge 0.645 0.470 0.291



#2
Compound: SrAc2Ge6
Source: Alexandria
Functional: GGA-PBE
Structure: optimized geometry

Total magnetic moment ... 0.00 μB/f.u.
Mass density ... 6.81 g/cm3
Space group ... P6/mmm, No. 191

Unit cell a=4.488 b=7.829 c=7.829 alpha=120.00 beta=90.00 gamma=90.00
Fractional positions:
Sr 0.000 0.000 0.000
Ac 0.000 0.333 0.667
Ac 0.000 0.667 0.333
Ge 0.500 0.334 0.334
Ge 0.500 0.666 0.666
Ge 0.500 0.000 0.666
Ge 0.500 0.666 0.000
Ge 0.500 0.334 0.000
Ge 0.500 0.000 0.334



What should be chosen as the most stable of them? Choose #2.



#1
Compound: Ac2TbGe
Source: Alexandria
Functional: GGA-PBE
Structure: optimized geometry

Total magnetic moment ... 0.00 μB/f.u.
Mass density ... 8.89 g/cm3
Space group ... P4/mmm, No. 123

Unit cell a=4.862 b=5.132 c=5.132 alpha=90.00 beta=90.00 gamma=90.00
Fractional positions:
Ac 0.000 0.000 0.500
Ac 0.000 0.500 0.000
Tb 0.500 0.500 0.500
Ge 0.500 0.000 0.000



#2
Compound: Ac2TbGe
Source: Alexandria
Functional: GGA-PBE
Structure: optimized geometry

Total magnetic moment ... 0.01 μB/f.u.
Mass density ... 6.87 g/cm3
Space group ... R-3m, No. 166

Unit cell a=4.165 b=4.165 c=11.299 alpha=79.38 beta=79.38 gamma=60.00
Fractional positions:
Ac 0.110 0.110 0.671
Ac 0.890 0.890 0.329
Tb 0.000 0.000 0.000
Ge 0.500 0.500 0.500



What should be chosen as the most stable of them? Choose #1.



#1
Compound: AcTcGe3
Source: Alexandria
Functional: GGA-PBE
Structure: optimized geometry

Total magnetic moment ... 0.00 μB/f.u.
Mass density ... 8.30 g/cm3
Space group ... I4mm, No. 107

Unit cell a=4.581 b=4.581 c=6.105 alpha=112.03 beta=112.03 gamma=90.00
Fractional positions:
Ac 0.999 0.999 0.997
Tc 0.657 0.657 0.315
Ge 0.255 0.755 0.509
Ge 0.755 0.255 0.509
Ge 0.425 0.425 0.850



#2
Compound: AcTcGe3
Source: Alexandria
Functional: GGA-PBE
Structure: optimized geometry

Total magnetic moment ... 0.00 μB/f.u.
Mass density ... 7.69 g/cm3
Space group ... Pm-3m, No. 221

Unit cell a=4.895 b=4.895 c=4.895 alpha=90.00 beta=90.00 gamma=90.00
Fractional positions:
Ac 0.500 0.500 0.500
Ge 0.000 0.500 0.000
Ge 0.000 0.000 0.500
Ge 0.500 0.000 0.000
Tc 0.000 0.000 0.000



What should be chosen as the most stable of them? Choose #1.



#1
Compound: AcTc3Ge3
Source: Alexandria
Functional: GGA-PBE
Structure: optimized geometry

Total magnetic moment ... 0.00 μB/f.u.
Mass density ... 8.38 g/cm3
Space group ... P2_1/m, No. 11

Unit cell a=4.457 b=8.724 c=8.706 alpha=120.07 beta=90.00 gamma=90.00
Fractional positions:
Ac 0.750 0.333 0.667
Ac 0.250 0.667 0.333
Tc 0.750 0.804 0.956
Tc 0.750 0.153 0.197
Tc 0.750 0.043 0.847
Tc 0.250 0.196 0.044
Tc 0.250 0.847 0.803
Tc 0.250 0.957 0.153
Ge 0.750 0.922 0.298
Ge 0.750 0.376 0.079
Ge 0.750 0.702 0.623
Ge 0.250 0.078 0.702
Ge 0.250 0.624 0.921
Ge 0.250 0.298 0.377



#2
Compound: AcTc3Ge3
Source: Alexandria
Functional: GGA-PBE
Structure: optimized geometry

Total magnetic moment ... 2.52 μB/f.u.
Mass density ... 7.70 g/cm3
Space group ... Pm-3n, No. 223

Unit cell a=6.831 b=6.831 c=6.831 alpha=90.00 beta=90.00 gamma=90.00
Each line ends with the local moment (μB).
Fractional positions:
Ac 0.500 0.500 0.500  0.00
Ac 0.000 0.000 0.000  0.00
Ge 0.000 0.250 0.500  -0.03
Ge 0.000 0.750 0.500  -0.03
Ge 0.500 0.000 0.750  -0.03
Ge 0.750 0.500 0.000  -0.03
Ge 0.500 0.000 0.250  -0.03
Ge 0.250 0.500 0.000  -0.03
Tc 0.250 0.000 0.500  0.76
Tc 0.000 0.500 0.250  0.76
Tc 0.500 0.750 0.000  0.76
Tc 0.750 0.000 0.500  0.76
Tc 0.000 0.500 0.750  0.76
Tc 0.500 0.250 0.000  0.76



What should be chosen as the most stable of them? Choose #1.



#1
Compound: AcTc2Ge2
Source: Alexandria
Functional: GGA-PBE
Structure: optimized geometry

Total magnetic moment ... 0.00 μB/f.u.
Mass density ... 9.23 g/cm3
Space group ... I4/mmm, No. 139

Unit cell a=4.343 b=4.343 c=6.228 alpha=110.40 beta=110.40 gamma=90.00
Fractional positions:
Ac 0.000 0.000 0.000
Tc 0.750 0.250 0.500
Tc 0.250 0.750 0.500
Ge 0.633 0.634 0.267
Ge 0.367 0.366 0.733



#2
Compound: AcTc2Ge2
Source: Alexandria
Functional: GGA-PBE
Structure: optimized geometry

Total magnetic moment ... 0.00 μB/f.u.
Mass density ... 9.17 g/cm3
Space group ... Imma, No. 74

Unit cell a=4.269 b=4.340 c=11.514 alpha=100.86 beta=100.68 gamma=90.00
Fractional positions:
Ac 0.841 0.591 0.682
Ac 0.159 0.409 0.318
Tc 0.534 0.284 0.069
Tc 0.967 0.217 0.935
Tc 0.466 0.716 0.931
Tc 0.033 0.783 0.065
Ge 0.720 0.970 0.440
Ge 0.280 0.030 0.560
Ge 0.402 0.152 0.804
Ge 0.598 0.848 0.196



What should be chosen as the most stable of them? Choose #2.